# AsPd4S

AsPd4S after structural relaxation (GGA-PBE, Alexandria via LeMat-Bulk).

Values from the calculation:
Energy relative to the elements, uncorrected: -0.190 eV per atom
V: 18.62 Å³ per atom

Geometry as CIF:
```
data_AsPd4S
_space_group_name_H-M_alt 'C 1 2/m 1'
_space_group_IT_number 12
_space_group_name_Hall '-C 2y'
_cell_length_a 16.040
_cell_length_b 3.811
_cell_length_c 7.313
_cell_angle_alpha 90.00
_cell_angle_beta 92.01
_cell_angle_gamma 90.00
loop_
_atom_site_label
_atom_site_type_symbol
_atom_site_fract_x
_atom_site_fract_y
_atom_site_fract_z
As1 As 0.208 0.000 0.276
Pd1 Pd 0.083 0.000 0.447
Pd2 Pd 0.084 0.000 0.067
Pd3 Pd 0.126 0.500 0.733
Pd4 Pd 0.233 0.000 0.873
S1 S 0.038 0.000 0.754
```